Entry 1:
# Pa3Co2C4

Crystalline Pa3Co2C4 at its relaxed geometry (GGA-PBE, Alexandria).

Lattice parameters (Å, degrees): 6.904 6.904 6.904 150.32 125.97 62.86
Atoms (fractional coordinates):
Pa 0.000 0.000 0.000
Pa 0.304 0.804 0.500
Pa 0.696 0.196 0.500
Co 0.328 0.500 0.828
Co 0.672 0.500 0.172
C 0.075 0.356 0.719
C 0.363 0.644 0.719
C 0.637 0.356 0.281
C 0.925 0.644 0.281

Values from the calculation:
Calculated formation energy (eV/atom): -0.108
Density of states at the Fermi level (states/eV per cell): 6.84

Entry 2:
# PaCo5C2

Crystalline PaCo5C2 at its relaxed geometry (GGA-PBE, Alexandria).

Lattice parameters (Å, degrees): 5.331 5.331 5.331 141.55 112.12 80.81
Atoms (fractional coordinates):
Pa 0.000 0.000 0.000
Co 0.144 0.346 0.798
Co 0.452 0.654 0.798
Co 0.500 0.000 0.500
Co 0.548 0.346 0.202
Co 0.856 0.654 0.202
C 0.261 0.761 0.500
C 0.739 0.239 0.500

Values from the calculation:
Calculated formation energy (eV/atom): -0.091
Density of states at the Fermi level (states/eV per cell): 5.52